Here is a relaxed Pr4Tl5Pb crystal from Alexandria. Energies are from PBE-GGA.

**Mass density**: 9.9 g/cm3
**Space-group type**: C2/m
**Calculated formation energy**: -0.37 eV per atom
**DOS(E_F)**: 7.33 states/eV per cell

```
Pr4Tl5Pb
1.0
9.099 -2.548 0.000
9.099 2.548 0.000
-2.168 0.000 6.509
Pr Tl Pb
4 5 1
direct
0.085 0.085 0.327
0.302 0.302 0.882
0.698 0.698 0.118
0.915 0.915 0.673
0.108 0.108 0.829
0.297 0.297 0.391
0.500 0.500 0.500
0.703 0.703 0.609
0.892 0.892 0.171
0.500 0.500 0.000
```